# AlMoSe2, relaxed, DFT GGA-PBEsol
# formation energy without anion corrections = -0.4 eV per formula unit
# crystal system = monoclinic
# mass density = 6.54 g cm⁻³
# space-group type = No. 6
data_AlMoSe2
_chemical_formula_sum 'Al1 Mo1 Se2'
_cell_length_a 3.350
_cell_length_b 4.681
_cell_length_c 4.868
_cell_angle_alpha 90.00
_cell_angle_beta 90.00
_cell_angle_gamma 110.85
_symmetry_space_group_name_H-M 'P 1'
_symmetry_Int_Tables_number 1
_symmetry_space_group_name_Hall 'P 1'
loop_
_atom_site_label
_atom_site_fract_x
_atom_site_fract_y
_atom_site_fract_z
_atom_site_occupancy
Al1 0.471 0.566 0.000 1
Mo1 0.072 0.767 0.500 1
Se1 0.175 0.977 0.000 1
Se2 0.781 0.189 0.500 1